#w
The following is a DFT calculation (PBE-GGA) of crystalline CuTe3C at its relaxed geometry.

Cell lengths 4.7634, 4.7634, 4.7634 Å; angles 90.00, 90.00, 90.00 degrees
With the nearest neighbours (Å) after each atom.
Sites, in units of the cell vectors:
Cu (0.0000, 0.0000, 0.0000)  12 Te 3.37
Te (0.0000, 0.5000, 0.5000)  2 C 2.38
Te (0.5000, 0.0000, 0.5000)  2 C 2.38
Te (0.5000, 0.5000, 0.0000)  2 C 2.38
C (0.5000, 0.5000, 0.5000)  6 Te 2.38

- D(E_F): 4.535 states/eV per cell
- Space group: Pm-3m
- Volume: 108 Å³/cell


#x
The following is a DFT calculation (PBE-GGA) of crystalline CuTe3C at its relaxed geometry.

Cell lengths 5.1050, 5.1050, 5.1050 Å; angles 90.00, 90.00, 90.00 degrees
With the nearest neighbours (Å) after each atom.
Sites, in units of the cell vectors:
Cu (0.0000, 0.0000, 0.0000)  6 Te 2.55
Te (0.0000, 0.0000, 0.5000)  2 Cu 2.55
Te (0.0000, 0.5000, 0.0000)  2 Cu 2.55
Te (0.5000, 0.0000, 0.0000)  2 Cu 2.55
C (0.5000, 0.5000, 0.5000)  12 Te 3.61

- D(E_F): 5.953 states/eV per cell
- Space group: Pm-3m
- Volume: 133 Å³/cell


The energetic minimum among the shown structures is #w; the next structure lies 0.545 eV/atom above.